# 1
This record from Alexandria via LeMat-Bulk describes an optimized crystal structure of Sc3SbP2. The functional is PBE.

a = 4.7133 Å, b = 11.5316 Å, c = 9.0956 Å
α = 90.00°, β = 90.00°, γ = 90.00°
Closest atoms and distances in Å follow each position.
Space group Cmcm (No. 63)
One atom of each set of equivalent atoms:
1 Sc 0.0000 0.0994 0.2500 x4  4 P 2.48-2.55
2 Sc 0.0000 0.3758 0.0456 x8  4 P 2.60-2.88
3 Sb 0.0000 0.2223 0.7500 x4  1 P 2.81, 2 Sc 3.13
4 P 0.0000 0.0000 0.0000 x4  6 Sc 2.55-2.79
5 P 0.0000 0.4662 0.7500 x4  4 Sc 2.48-2.60

DOS at the Fermi energy	0.40	states/eV per atom
formation energy from raw total energies	-904.8	meV/atom

# 2
This record from Alexandria via LeMat-Bulk describes an optimized crystal structure of LaNi2Bi2. The functional is PBE.

a = 4.7719 Å, b = 4.7719 Å, c = 9.9945 Å
α = 90.00°, β = 90.00°, γ = 90.00°
Closest atoms and distances in Å follow each position.
Space group I4/mmm (No. 139)
One atom of each set of equivalent atoms:
1 La 0.0000 0.0000 0.0000 x2  8 Bi 3.45, 10 Ni 3.59-3.78
2 Ni 0.0000 0.0000 0.3786 x4  1 Ni 2.43, 4 Bi 2.71
3 Bi 0.0000 0.5000 0.2500 x4  4 Ni 2.71

E_form	-0.28	eV/atom
DOS at the Fermi energy	0.75	states/eV per atom

# 3
This record from Alexandria via LeMat-Bulk describes an optimized crystal structure of La2InI2. The functional is PBE.

a = 14.4476 Å, b = 6.3410 Å, c = 9.6355 Å
α = 90.00°, β = 119.77°, γ = 90.00°
Closest atoms and distances in Å follow each position.
Space group C2/m (No. 12)
One atom of each set of equivalent atoms:
1 La 0.0126 0.0000 0.1962 x4  4 I 3.28-3.34, 2 In 3.35-3.38, 1 La 3.61
2 La 0.1608 0.5000 0.0764 x4  1 In 3.20, 5 I 3.27-3.33
3 In 0.1175 0.0000 0.5940 x4  1 In 2.95, 1 La 3.20
4 I 0.0415 0.5000 0.2946 x4  4 La 3.28-3.32
5 I 0.2207 0.0000 0.1449 x4  5 La 3.27-3.34

DOS at the Fermi energy	0.88	states/eV per atom
formation energy from raw total energies	-728.2	meV/atom

# 4
This record from Alexandria via LeMat-Bulk describes an optimized crystal structure of Ac3Pm3Tl2In. The functional is PBE.

a = 9.5500 Å, b = 9.5500 Å, c = 3.9589 Å
α = 90.00°, β = 90.00°, γ = 120.00°
Closest atoms and distances in Å follow each position.
Space group P-62m (No. 189)
One atom of each set of equivalent atoms:
1 Ac 0.0000 0.7147 0.0000 x3  2 In 3.37, 2 Tl 3.44, 2 Pm 3.70
2 Pm 0.0000 0.3873 0.5000 x3  4 Tl 3.56, 1 In 3.70, 6 Ac 3.70-3.87, 2 Pm 3.96
3 Tl 0.3333 0.6667 0.0000 x2  3 Ac 3.44, 6 Pm 3.56
4 In 0.0000 0.0000 0.5000 x1  6 Ac 3.37, 3 Pm 3.70

E_form	-0.22	eV/atom
DOS at the Fermi energy	0.89	states/eV per atom

# 5
This record from Alexandria via LeMat-Bulk describes an optimized crystal structure of Zn6CuAu3. The functional is PBE.

a = 9.4618 Å, b = 9.4618 Å, c = 9.4618 Å
α = 90.00°, β = 90.00°, γ = 90.00°
Closest atoms and distances in Å follow each position.
Space group Fm-3m (No. 225)
One atom of each set of equivalent atoms:
1 Zn 0.0000 0.0000 0.2413 x24  1 Cu 2.28, 1 Au 2.45
2 Cu 0.0000 0.0000 0.0000 x4  6 Zn 2.28
3 Au 0.0000 0.0000 0.5000 x4  6 Zn 2.45
4 Au 0.2500 0.2500 0.2500 x8  12 Zn 3.35

polymorph energy (0 for the lowest one)	459	meV per atom
E_form	0.30	eV/atom
DOS at the Fermi energy	0.47	states/eV per atom

# 6
This record from Alexandria via LeMat-Bulk describes an optimized crystal structure of ErPu3In12. The functional is PBE.

a = 4.6546 Å, b = 4.6546 Å, c = 18.5363 Å
α = 90.00°, β = 90.00°, γ = 90.00°
Closest atoms and distances in Å follow each position.
Space group P4/mmm (No. 123)
One atom of each set of equivalent atoms:
1 Er 0.0000 0.0000 0.0000 x1  12 In 3.28-3.29
2 Pu 0.0000 0.0000 0.2487 x2  12 In 3.27-3.30
3 Pu 0.0000 0.0000 0.5000 x1  12 In 3.28-3.29
4 In 0.0000 0.5000 0.1245 x4  2 Pu 3.27, 8 In 3.28-3.30, 2 Er 3.28
5 In 0.0000 0.5000 0.3752 x4  8 In 3.28-3.29, 4 Pu 3.28-3.30
6 In 0.5000 0.5000 0.0000 x1  8 In 3.28, 4 Er 3.29
7 In 0.5000 0.5000 0.2504 x2  8 In 3.28-3.30, 4 Pu 3.29
8 In 0.5000 0.5000 0.5000 x1  8 In 3.28, 4 Pu 3.29

E_form	-0.26	eV/atom
DOS at the Fermi energy	2.41	states/eV per atom

# 7
This record from Alexandria via LeMat-Bulk describes an optimized crystal structure of Na6Cd12Pd. The functional is PBE.

a = 11.4551 Å, b = 11.4551 Å, c = 12.2232 Å
α = 90.00°, β = 90.00°, γ = 120.00°
Closest atoms and distances in Å follow each position.
Space group R-3 (No. 148, hexagonal axes)
One atom of each set of equivalent atoms:
1 Na 0.0291 0.4326 0.2145 x18  9 Cd 3.08-3.41, 1 Pd 3.21, 2 Na 3.37
2 Cd 0.0542 0.1773 0.3170 x18  1 Pd 2.87, 3 Cd 2.91-3.12, 2 Na 3.08-3.14
3 Cd 0.0629 0.8724 0.9011 x18  3 Cd 2.91-3.09, 2 Na 3.11-3.21
4 Pd 0.0000 0.0000 0.5000 x3  6 Cd 2.87, 6 Na 3.21

E_form	-0.09	eV/atom
DOS at the Fermi energy	0.46	states/eV per atom

# 8
This record from Alexandria via LeMat-Bulk describes an optimized crystal structure of DyHoRuPt. The functional is PBE.

a = 6.8696 Å, b = 6.8696 Å, c = 6.8696 Å
α = 90.00°, β = 90.00°, γ = 90.00°
Closest atoms and distances in Å follow each position.
Space group F-43m (No. 216)
One atom of each set of equivalent atoms:
1 Dy 0.0000 0.0000 0.0000 x4  4 Ru 2.97, 4 Pt 2.97
2 Ho 0.0000 0.0000 0.5000 x4  4 Pt 2.97, 4 Ru 2.97
3 Ru 0.2500 0.2500 0.7500 x4  4 Dy 2.97, 4 Ho 2.97
4 Pt 0.2500 0.2500 0.2500 x4  4 Dy 2.97, 4 Ho 2.97

polymorph energy (0 for the lowest one)	46	meV per atom
E_form	-0.80	eV/atom
DOS at the Fermi energy	0.52	states/eV per atom

# 9
This record from Alexandria via LeMat-Bulk describes an optimized crystal structure of Sr2Ca6Ac. The functional is PBE.

a = 3.9625 Å, b = 3.9625 Å, c = 29.9740 Å
α = 90.00°, β = 90.00°, γ = 120.00°
Closest atoms and distances in Å follow each position.
Space group P-6m2 (No. 187)
One atom of each set of equivalent atoms:
1 Sr 0.0000 0.0000 0.1729 x2  6 Sr 3.96, 6 Ca 4.06-4.09
2 Ca 0.0000 0.0000 0.3926 x2  9 Ca 3.93-3.96, 3 Ac 3.95
3 Ca 0.6667 0.3333 0.0610 x2  7 Ca 3.65-3.96, 3 Sr 4.06
4 Ca 0.6667 0.3333 0.2860 x2  9 Ca 3.93-3.96, 3 Sr 4.09
5 Ac 0.6667 0.3333 0.5000 x1  6 Ca 3.95, 6 Ac 3.96

E_form	0.06	eV/atom
DOS at the Fermi energy	1.45	states/eV per atom

# 10
This record from Alexandria via LeMat-Bulk describes an optimized crystal structure of Na2ZnPdO4. The functional is PBE.

a = 5.4944 Å, b = 3.1108 Å, c = 5.6441 Å
α = 90.00°, β = 109.44°, γ = 90.00°
Closest atoms and distances in Å follow each position.
Space group P2/m (No. 10)
One atom of each set of equivalent atoms:
1 Na 0.0000 0.0000 0.0000 x1  6 O 2.43-2.48
2 Na 0.5000 0.5000 0.0000 x1  6 O 2.35-2.37
3 Zn 0.0000 0.5000 0.5000 x1  6 O 2.12-2.23
4 Pd 0.5000 0.0000 0.5000 x1  6 O 2.06-2.08
5 O 0.2455 0.0000 0.7020 x2  1 Pd 2.08, 2 Zn 2.12
6 O 0.2836 0.5000 0.2949 x2  2 Pd 2.06, 1 Zn 2.23

DOS at the Fermi energy	0.05	states/eV per atom
formation energy from raw total energies	-1136.7	meV/atom

# 11
This record from Alexandria via LeMat-Bulk describes an optimized crystal structure of Pm2ThCo. The functional is PBE.

a = 3.5045 Å, b = 3.5045 Å, c = 8.7460 Å
α = 90.00°, β = 90.00°, γ = 90.00°
Closest atoms and distances in Å follow each position.
Space group P4/mmm (No. 123)
One atom of each set of equivalent atoms:
1 Pm 0.0000 0.0000 0.1919 x2  4 Co 2.99
2 Th 0.5000 0.5000 0.5000 x1  4 Th 3.50, 8 Pm 3.66
3 Co 0.5000 0.5000 0.0000 x1  8 Pm 2.99

polymorph energy (0 for the lowest one)	216	meV per atom
E_form	0.07	eV/atom
DOS at the Fermi energy	1.47	states/eV per atom

# 12
This record from Alexandria via LeMat-Bulk describes an optimized crystal structure of La4Pm3Au2. The functional is PBE.

a = 17.7675 Å, b = 3.8649 Å, c = 9.4897 Å
α = 90.00°, β = 112.70°, γ = 90.00°
Closest atoms and distances in Å follow each position.
Space group C2/m (No. 12)
One atom of each set of equivalent atoms:
1 La 0.1232 0.0000 0.3781 x4  6 Pm 3.78-3.92, 5 La 3.80-3.97, 2 Au 4.06-4.15
2 La 0.2377 0.5000 0.1790 x4  3 Au 3.12-3.26
3 Pm 0.0000 0.5000 0.0000 x2  4 Au 3.00
4 Pm 0.0731 0.5000 0.6737 x4  2 Au 3.06, 1 Pm 3.32
5 Au 0.1146 0.0000 0.9437 x4  4 Pm 3.00-3.06, 3 La 3.12-3.26

E_form	-0.30	eV/atom
DOS at the Fermi energy	1.58	states/eV per atom

Number 1: E_tot -157.5 eV/cell. Number 2: E_tot -51.3 eV/cell. Number 3: E_tot -77.3 eV/cell. Number 4: E_tot -36.0 eV/cell. Number 5: E_tot -74.2 eV/cell. Number 6: E_tot -84.6 eV/cell. Number 7: E_tot -77.4 eV/cell. Number 8: E_tot -110.8 eV/cell. Number 9: E_tot -19.0 eV/cell. Number 10: E_tot -38.0 eV/cell. Number 11: E_tot -23.7 eV/cell. Number 12: E_tot -86.5 eV/cell.